(1)
Pm5Ho2Tl: optimized geometry, PBE.

Cell: 7.138 14.303 5.009 Å, 90.00 90.00 90.00°
Positions (direct):
Pm 0.000 0.000 0.000
Pm 0.004 0.260 0.000
Pm 0.247 0.127 0.500
Pm 0.253 0.627 0.500
Pm 0.496 0.760 0.000
Pm 0.500 0.500 0.000
Pm 0.504 0.240 0.000
Pm 0.747 0.373 0.500
Pm 0.753 0.873 0.500
Pm 0.996 0.740 0.000
Ho 0.246 0.876 0.500
Ho 0.254 0.376 0.500
Ho 0.746 0.624 0.500
Ho 0.754 0.124 0.500
Tl 0.000 0.500 0.000
Tl 0.500 0.000 0.000

## Properties
symmetry	Pbam
ΔE to the lowest computed polymorph	0.0000	eV per atom


(2)
La2Pm4NdSm2: optimized geometry, PBE.

Cell: 9.791 9.791 9.830 Å, 115.25 115.25 21.82°
Positions (direct):
La 0.166 0.166 0.499
La 0.834 0.834 0.501
Pm 0.019 0.019 0.835
Pm 0.314 0.314 0.165
Pm 0.686 0.686 0.835
Pm 0.981 0.981 0.165
Nd 0.500 0.500 0.500
Sm 0.352 0.352 0.834
Sm 0.648 0.648 0.166

## Properties
energy	-43.0	eV for the cell shown
symmetry	C2/m


(3)
KBa2ScPd: optimized geometry, PBE.

Cell: 6.475 6.475 5.295 Å, 90.00 90.00 90.00°
Positions (direct):
K 0.000 0.000 0.000
Ba 0.000 0.500 0.500
Ba 0.500 0.000 0.500
Sc 0.500 0.500 0.000
Pd 0.500 0.500 0.500

## Properties
energy	-16.8	eV for the cell shown
symmetry	P4/mmm